<1>
Computed, not measured: crystalline HoEr3Fe at its relaxed geometry at the PBE-GGA level of DFT.

The structure in POSCAR format:
```
HoEr3Fe
1.0
5.211 0.000 0.000
0.000 5.211 0.000
0.000 0.000 5.211
Fe Ho Er
1 1 3
Cartesian
0.000 0.000 0.000 Fe
2.605 2.605 2.605 Ho
0.000 2.605 0.000 Er
0.000 0.000 2.605 Er
2.605 0.000 0.000 Er
```

Summary:
DOS at the Fermi energy ... 7.45 states/eV per cell


<2>
Computed, not measured: crystalline HoEr3Fe at its relaxed geometry at the PBE-GGA level of DFT.

The structure in POSCAR format:
```
HoEr3Fe
1.0
3.578 0.000 0.000
0.000 7.810 -4.657
0.000 -1.112 10.306
Ho Er Fe
2 6 2
Cartesian
2.684 4.755 3.309 Ho
0.895 1.943 2.340 Ho
0.895 4.471 0.115 Er
2.684 2.227 5.534 Er
0.895 -0.457 6.679 Er
2.684 1.606 -0.846 Er
2.684 7.155 -1.030 Er
0.895 5.092 6.495 Er
2.684 4.561 -2.156 Fe
0.895 2.137 7.805 Fe
```

Summary:
DOS at the Fermi energy ... 12.47 states/eV per cell


Least stable structure: <1>


<1>
Computed, not measured: crystalline Er3InFe at its relaxed geometry at the PBE-GGA level of DFT.

The structure in POSCAR format:
```
Er3InFe
1.0
5.092 0.000 0.000
0.000 5.092 0.000
0.000 0.000 5.092
In Fe Er
1 1 3
Cartesian
2.546 2.546 2.546 In
0.000 0.000 0.000 Fe
0.000 2.546 0.000 Er
0.000 0.000 2.546 Er
2.546 0.000 0.000 Er
```

Summary:
DOS at the Fermi energy ... 4.47 states/eV per cell


<2>
Computed, not measured: crystalline Er3InFe at its relaxed geometry at the PBE-GGA level of DFT.

The structure in POSCAR format:
```
Er3InFe
1.0
-1.121 -2.967 1.975
3.637 -5.249 -5.821
13.366 0.318 8.064
Er In Fe
12 4 4
Cartesian
7.138 -1.645 3.347 Er
13.607 -3.469 7.813 Er
8.743 -6.253 0.871 Er
2.275 -4.429 -3.595 Er
11.412 -1.744 5.624 Er
4.241 -3.491 2.464 Er
4.469 -6.153 -1.405 Er
11.641 -4.407 1.754 Er
1.983 -1.126 1.201 Er
9.326 -4.213 4.266 Er
13.899 -6.772 3.018 Er
6.555 -3.685 -0.048 Er
3.483 -3.060 -0.853 In
8.141 -2.271 6.510 In
12.399 -4.837 5.072 In
7.741 -5.627 -2.292 In
12.796 -0.691 7.991 Fe
7.015 -4.445 2.606 Fe
3.085 -7.206 -3.772 Fe
8.866 -3.453 1.613 Fe
```

Summary:
DOS at the Fermi energy ... 14.28 states/eV per cell


Least stable structure: <1>


<1>
Computed, not measured: crystalline Er2MnFe at its relaxed geometry at the PBE-GGA level of DFT.

The structure in POSCAR format:
```
Er2MnFe
1.0
3.431 0.000 0.000
0.000 3.431 0.000
0.000 0.000 6.817
Mn Fe Er
1 1 2
Cartesian
1.716 1.716 3.408 Mn
1.716 1.716 0.000 Fe
0.000 0.000 5.199 Er
0.000 0.000 1.617 Er
```

Summary:
DOS at the Fermi energy ... 5.97 states/eV per cell


<2>
Computed, not measured: crystalline Er2MnFe at its relaxed geometry at the PBE-GGA level of DFT.

The structure in POSCAR format:
```
Er2MnFe
1.0
-2.485 1.552 -1.695
0.214 0.367 -3.358
-4.696 -6.835 -2.753
Mn Fe Er
1 1 2
Cartesian
0.000 0.000 0.000 Mn
-3.484 -2.458 -3.903 Fe
-1.841 -1.418 -1.979 Er
-5.126 -3.498 -5.828 Er
```

Summary:
DOS at the Fermi energy ... 3.52 states/eV per cell


Least stable structure: <2>


<1>
Computed, not measured: crystalline ErMnFe at its relaxed geometry at the PBE-GGA level of DFT.

The structure in POSCAR format:
```
ErMnFe
1.0
-1.114 -2.041 -3.146
-0.602 -2.916 4.537
-4.545 1.713 0.498
Fe Mn Er
2 2 2
Cartesian
-4.096 -0.176 -0.868 Fe
-2.165 -3.068 2.756 Fe
-2.273 0.857 0.249 Mn
0.000 0.000 0.000 Mn
-2.182 -2.252 -0.199 Er
-4.079 -0.992 2.088 Er
```

Summary:
DOS at the Fermi energy ... 6.96 states/eV per cell


<2>
Computed, not measured: crystalline ErMnFe at its relaxed geometry at the PBE-GGA level of DFT.

The structure in POSCAR format:
```
ErMnFe
1.0
4.334 0.000 0.000
0.000 3.712 0.000
0.000 -1.856 3.215
Mn Fe Er
1 1 1
Cartesian
0.721 1.856 1.072 Mn
0.724 0.000 0.000 Fe
2.889 0.000 2.143 Er
```

Summary:
DOS at the Fermi energy ... 2.42 states/eV per cell


<3>
Computed, not measured: crystalline ErMnFe at its relaxed geometry at the PBE-GGA level of DFT.

The structure in POSCAR format:
```
ErMnFe
1.0
-2.589 3.346 2.861
-3.861 -3.286 0.612
4.758 -1.468 1.135
Er Mn Fe
2 2 2
Cartesian
-2.500 -2.824 1.170 Er
0.807 1.416 3.438 Er
-3.225 0.030 1.736 Mn
0.448 -2.377 0.874 Mn
-0.846 -0.704 2.304 Fe
-1.295 1.673 1.430 Fe
```

Summary:
DOS at the Fermi energy ... 7.72 states/eV per cell


Least stable structure: <1>


<1>
Computed, not measured: crystalline ErNbFe2 at its relaxed geometry at the PBE-GGA level of DFT.

The structure in POSCAR format:
```
ErNbFe2
1.0
-3.320 -1.396 2.645
0.930 -2.093 3.837
-0.759 2.042 3.900
Nb Fe Er
1 2 1
Cartesian
0.000 0.000 0.000 Nb
-2.361 -1.086 7.786 Fe
-0.787 -0.361 2.596 Fe
-1.574 -0.723 5.191 Er
```

Summary:
DOS at the Fermi energy ... 2.60 states/eV per cell


<2>
Computed, not measured: crystalline ErNbFe2 at its relaxed geometry at the PBE-GGA level of DFT.

The structure in POSCAR format:
```
ErNbFe2
1.0
-0.887 -2.443 1.729
0.299 -1.867 -2.484
6.262 -1.135 1.607
Nb Fe Er
1 2 1
Cartesian
-0.294 -2.155 -0.377 Nb
4.912 -0.890 1.261 Fe
1.350 -0.245 0.346 Fe
2.837 -2.722 0.426 Er
```

Summary:
DOS at the Fermi energy ... 1.64 states/eV per cell


Least stable structure: <1>


<1>
Computed, not measured: crystalline ErNbFe4 at its relaxed geometry at the PBE-GGA level of DFT.

The structure in POSCAR format:
```
ErNbFe4
1.0
4.969 0.000 0.000
2.485 4.304 0.000
2.485 1.435 4.057
Nb Fe Er
1 4 1
Cartesian
2.485 1.435 1.014 Nb
4.969 2.869 0.513 Fe
4.969 1.440 2.534 Fe
6.207 3.583 2.534 Fe
3.732 3.583 2.534 Fe
0.000 0.000 0.000 Er
```

Summary:
DOS at the Fermi energy ... 3.94 states/eV per cell


<2>
Computed, not measured: crystalline ErNbFe4 at its relaxed geometry at the PBE-GGA level of DFT.

The structure in POSCAR format:
```
ErNbFe4
1.0
-3.599 3.387 -0.451
-1.133 -4.677 1.213
0.763 1.860 7.882
Er Nb Fe
2 2 8
Cartesian
-1.625 -1.184 4.069 Er
-2.344 1.754 4.575 Er
-2.056 2.455 7.545 Nb
-1.912 -1.885 1.099 Nb
0.381 0.930 3.941 Fe
0.000 0.000 0.000 Fe
-3.004 2.475 1.695 Fe
-3.567 0.152 2.297 Fe
-1.216 0.792 1.919 Fe
-0.964 -1.905 6.950 Fe
-0.401 0.419 6.347 Fe
-2.752 -0.222 6.726 Fe
```

Summary:
DOS at the Fermi energy ... 10.68 states/eV per cell


Least stable structure: <1>


<1>
Computed, not measured: crystalline ErNpFe4 at its relaxed geometry at the PBE-GGA level of DFT.

The structure in POSCAR format:
```
ErNpFe4
1.0
5.017 0.000 0.000
-2.509 4.345 0.000
0.000 0.000 8.443
Er Np Fe
2 2 8
Cartesian
0.000 2.897 3.638 Er
2.509 1.448 4.805 Er
2.509 1.448 8.063 Np
0.000 2.897 0.380 Np
0.000 0.000 4.221 Fe
0.000 0.000 0.000 Fe
3.775 0.717 2.137 Fe
2.509 2.911 2.137 Fe
1.242 0.717 2.137 Fe
-1.267 3.628 6.306 Fe
0.000 1.434 6.306 Fe
1.267 3.628 6.306 Fe
```

Summary:
DOS at the Fermi energy ... 17.01 states/eV per cell


<2>
Computed, not measured: crystalline ErNpFe4 at its relaxed geometry at the PBE-GGA level of DFT.

The structure in POSCAR format:
```
ErNpFe4
1.0
5.069 0.000 0.000
2.534 4.390 0.000
2.534 1.463 4.139
Np Fe Er
1 4 1
Cartesian
2.534 1.463 1.035 Np
5.069 2.927 0.518 Fe
5.069 1.464 2.587 Fe
6.336 3.658 2.587 Fe
3.802 3.658 2.587 Fe
0.000 0.000 0.000 Er
```

Summary:
DOS at the Fermi energy ... 11.77 states/eV per cell


Least stable structure: <2>